Record 1
The following is a DFT calculation (PBE-GGA) of a geometry-optimized TaNbC2 structure.

total magnetization: 0.00 Bohr magnetons per cell
theoretical density: 10.9 g cm⁻³
uncorrected energy: -10.62 eV per atom

Lattice parameters (Å, degrees): 3.176 3.176 4.485 90.00 90.00 90.00
Fractional positions:
Ta: 0.000 0.000 0.000
Nb: 0.500 0.500 0.500
C: 0.000 0.000 0.500
C: 0.500 0.500 0.000


Record 2
The following is a DFT calculation (PBE-GGA) of a geometry-optimized Ta4Nb2Tl3C3 structure.

total magnetization: 0.01 Bohr magnetons per cell
theoretical density: 13.3 g cm⁻³
uncorrected energy: -8.78 eV per atom

Lattice parameters (Å, degrees): 5.581 5.581 14.835 100.87 100.87 60.00
Fractional positions:
Ta: 0.023 0.197 0.080
Ta: 0.144 0.306 0.420
Ta: 0.197 0.023 0.580
Ta: 0.306 0.144 0.920
Ta: 0.694 0.856 0.080
Ta: 0.803 0.977 0.420
Ta: 0.856 0.694 0.580
Ta: 0.977 0.803 0.920
Nb: 0.365 0.527 0.082
Nb: 0.473 0.635 0.418
Nb: 0.527 0.365 0.582
Nb: 0.635 0.473 0.918
Tl: 0.080 0.920 0.250
Tl: 0.250 0.414 0.749
Tl: 0.414 0.250 0.249
Tl: 0.586 0.750 0.751
Tl: 0.750 0.586 0.251
Tl: 0.920 0.080 0.750
C: 0.000 0.500 0.000
C: 0.160 0.670 0.500
C: 0.330 0.840 0.000
C: 0.500 0.000 0.500
C: 0.670 0.160 0.000
C: 0.840 0.330 0.500


Copy entry 2 word for word.
The following is a DFT calculation (PBE-GGA) of a geometry-optimized Ta4Nb2Tl3C3 structure.

total magnetization: 0.01 Bohr magnetons per cell
theoretical density: 13.3 g cm⁻³
uncorrected energy: -8.78 eV per atom

Lattice parameters (Å, degrees): 5.581 5.581 14.835 100.87 100.87 60.00
Fractional positions:
Ta: 0.023 0.197 0.080
Ta: 0.144 0.306 0.420
Ta: 0.197 0.023 0.580
Ta: 0.306 0.144 0.920
Ta: 0.694 0.856 0.080
Ta: 0.803 0.977 0.420
Ta: 0.856 0.694 0.580
Ta: 0.977 0.803 0.920
Nb: 0.365 0.527 0.082
Nb: 0.473 0.635 0.418
Nb: 0.527 0.365 0.582
Nb: 0.635 0.473 0.918
Tl: 0.080 0.920 0.250
Tl: 0.250 0.414 0.749
Tl: 0.414 0.250 0.249
Tl: 0.586 0.750 0.751
Tl: 0.750 0.586 0.251
Tl: 0.920 0.080 0.750
C: 0.000 0.500 0.000
C: 0.160 0.670 0.500
C: 0.330 0.840 0.000
C: 0.500 0.000 0.500
C: 0.670 0.160 0.000
C: 0.840 0.330 0.500